## P2WO8 (PBE with a Hubbard U)

Data for a geometry-optimized P2WO8 structure.

- Final energy: -7.054 eV/atom
- Energy above the lowest structure with this stoichiometry: 0.217 eV/atom
- Volume: 167.0 Å³/cell
- DOS at the Fermi energy: 0.00 states/eV per cell
- Space-group type: C2/m (12)

Unit cell a=6.6019 b=6.6019 c=4.7307 alpha=94.36 beta=94.36 gamma=54.37
Last column: nearest neighbours and their distance in Å.
Sites, in units of the cell vectors:
P  0.1640  0.1640  0.1393  4 O 1.46-1.63
P  0.8360  0.8360  0.8607  4 O 1.46-1.63
W  0.0000  0.0000  0.5000  6 O 1.94-1.97
O  0.1016  0.7063  0.7103  1 P 1.63
O  0.1150  0.1150  0.8197  1 P 1.57
O  0.2888  0.2888  0.1828  1 P 1.46
O  0.2937  0.8984  0.2897  1 P 1.63
O  0.7063  0.1016  0.7103  1 P 1.63
O  0.7112  0.7112  0.8172  1 P 1.46
O  0.8850  0.8850  0.1803  1 P 1.57
O  0.8984  0.2937  0.2897  1 P 1.63